Material: PrHo2ErTm5
Method: DFT, PBE-GGA
State: optimized geometry

## Properties
Total magnetization in μB per formula unit: 0.01
D(E_F) in states/eV per cell: 28.6
Symmetry: Cmc2_1 (36)
Energy relative to the elements in eV/f.u.: 1.504
Calculated volume in Å³/cell: 570.4
Electronic total energy in eV per atom: -4.3724

a = 5.553 Å, b = 10.195 Å, c = 10.471 Å
α = 90.00°, β = 90.00°, γ = 105.80°
Positions (direct):
1 Pr 0.583 0.167 0.952
2 Pr 0.417 0.833 0.452
3 Ho 0.887 0.775 0.818
4 Ho 0.111 0.223 0.734
5 Ho 0.113 0.225 0.318
6 Ho 0.889 0.777 0.234
7 Er 0.800 0.600 0.512
8 Er 0.200 0.400 0.012
9 Tm 0.386 0.773 0.022
10 Tm 0.719 0.438 0.813
11 Tm 0.479 0.957 0.736
12 Tm 0.298 0.597 0.711
13 Tm 0.982 0.964 0.525
14 Tm 0.614 0.227 0.522
15 Tm 0.281 0.562 0.313
16 Tm 0.521 0.043 0.236
17 Tm 0.702 0.403 0.211
18 Tm 0.018 0.036 0.025